1.
Here is crystalline K6PuBr8 at its relaxed geometry from Alexandria. Energies are from GGA-PBE.

Cell lengths 9.8562, 9.8562, 19.8107 Å; angles 90.00, 90.00, 120.00 degrees
Space group R-3 (No. 148, hexagonal axes)
Unique sites:
K (0.0182, 0.4041, 0.4202) (multiplicity 18)
Pu (0.0000, 0.0000, 0.5000) (multiplicity 3)
Br (0.0000, 0.0000, 0.1622) (multiplicity 6)
Br (0.0122, 0.2574, 0.5868) (multiplicity 18)

Calculated values
ρ	3.3	Mg/m³
total energy	-3.922	eV/atom
total magnetization	5.985	μB/f.u.
crystal system	trigonal
formation energy without anion corrections	-1.635	eV per atom


2.
Here is crystalline K3Pu2Br8 at its relaxed geometry from Alexandria. Energies are from GGA-PBE.

Cell lengths 16.679, 8.511, 7.676 Å; angles 90.00, 109.68, 90.00 degrees
Space group C2/m (No. 12)
Unique sites:
K (0.000, 0.000, 0.000) (multiplicity 2)
K (0.000, 0.270, 0.500) (multiplicity 4)
Pu (0.242, 0.500, 0.162) (multiplicity 4)
Br (0.112, 0.500, 0.330) (multiplicity 4)
Br (0.132, 0.000, 0.465) (multiplicity 4)
Br (0.138, 0.240, 0.917) (multiplicity 8)

Calculated values
ρ	4.0	Mg/m³
total energy	-5.072	eV/atom
total magnetization	11.000	μB/f.u.
crystal system	monoclinic
formation energy without anion corrections	-1.585	eV per atom


3.
Here is crystalline K5Pu3Br12 at its relaxed geometry from Alexandria. Energies are from GGA-PBE.

Cell lengths 18.318, 18.318, 18.318 Å; angles 90.00, 90.00, 90.00 degrees
Space group Ia-3d (No. 230)
Unique sites:
K (0.000, 0.000, 0.000) (multiplicity 16)
K (0.000, 0.250, 0.375) (multiplicity 24)
Pu (0.000, 0.250, 0.125) (multiplicity 24)
Br (0.021, 0.085, 0.651) (multiplicity 96)

Calculated values
ρ	4.1	Mg/m³
total energy	-4.887	eV/atom
total magnetization	17.000	μB/f.u.
crystal system	cubic
formation energy without anion corrections	-1.459	eV per atom


4.
Here is crystalline K3Pu5Br12 at its relaxed geometry from Alexandria. Energies are from GGA-PBE.

Cell lengths 18.487, 18.487, 18.487 Å; angles 90.00, 90.00, 90.00 degrees
Space group Ia-3d (No. 230)
Unique sites:
K (0.000, 0.250, 0.125) (multiplicity 24)
Pu (0.000, 0.000, 0.000) (multiplicity 16)
Pu (0.000, 0.250, 0.375) (multiplicity 24)
Br (0.026, 0.064, 0.648) (multiplicity 96)

Calculated values
ρ	4.8	Mg/m³
total energy	-6.097	eV/atom
total magnetization	30.961	μB/f.u.
crystal system	cubic
formation energy without anion corrections	-1.346	eV per atom


5.
Here is crystalline KPuBr2 at its relaxed geometry from Alexandria. Energies are from GGA-PBE.

Cell lengths 4.0471, 4.0471, 31.5836 Å; angles 90.00, 90.00, 120.00 degrees
Space group R-3m (No. 166, hexagonal axes)
Unique sites:
K (0.0000, 0.0000, 0.0000) (multiplicity 3)
Pu (0.0000, 0.0000, 0.5000) (multiplicity 3)
Br (0.0000, 0.0000, 0.1058) (multiplicity 6)

Calculated values
ρ	4.9	Mg/m³
total energy	-5.767	eV/atom
total magnetization	6.403	μB/f.u.
crystal system	trigonal
formation energy without anion corrections	-1.073	eV per atom


6.
Here is crystalline K2PuBr6 at its relaxed geometry from Alexandria. Energies are from GGA-PBE.

Cell lengths 7.358, 7.358, 14.178 Å; angles 90.00, 90.00, 90.00 degrees
Space group P4_2/mnm (No. 136)
Unique sites:
K (0.000, 0.000, 0.166) (multiplicity 4)
Pu (0.000, 0.000, 0.500) (multiplicity 2)
Br (0.184, 0.184, 0.359) (multiplicity 8)
Br (0.234, 0.234, 0.000) (multiplicity 4)

Calculated values
ρ	3.5	Mg/m³
total energy	-4.466	eV/atom
total magnetization	4.000	μB/f.u.
crystal system	tetragonal
formation energy without anion corrections	-1.514	eV per atom


7.
Here is crystalline K4PuBr6 at its relaxed geometry from Alexandria. Energies are from GGA-PBE.

Cell lengths 9.188, 9.188, 9.678 Å; angles 90.00, 90.00, 90.00 degrees
Space group P4/mnc (No. 128)
Unique sites:
K (0.173, 0.327, 0.250) (multiplicity 8)
Pu (0.000, 0.000, 0.000) (multiplicity 2)
Br (0.000, 0.000, 0.303) (multiplicity 4)
Br (0.101, 0.688, 0.000) (multiplicity 8)

Calculated values
ρ	3.6	Mg/m³
total energy	-4.212	eV/atom
total magnetization	5.962	μB/f.u.
crystal system	tetragonal
formation energy without anion corrections	-1.598	eV per atom


8.
Here is crystalline K2PuBr4 at its relaxed geometry from Alexandria. Energies are from GGA-PBE.

Cell lengths 8.109, 4.362, 8.627 Å; angles 90.00, 113.13, 90.00 degrees
Space group P2/m (No. 10)
Unique sites:
K (0.065, 0.000, 0.316) (multiplicity 2)
Pu (0.500, 0.500, 0.000) (multiplicity 1)
Br (0.242, 0.500, 0.639) (multiplicity 2)
Br (0.277, 0.000, 0.064) (multiplicity 2)

Calculated values
ρ	3.8	Mg/m³
total energy	-4.863	eV/atom
total magnetization	5.997	μB/f.u.
crystal system	monoclinic
formation energy without anion corrections	-1.546	eV per atom


9.
Here is crystalline KPu2Br8 at its relaxed geometry from Alexandria. Energies are from GGA-PBE.

Cell lengths 15.180, 7.699, 8.856 Å; angles 90.00, 106.01, 90.00 degrees
Space group C2/m (No. 12)
Unique sites:
K (0.000, 0.000, 0.000) (multiplicity 2)
Pu (0.202, 0.000, 0.673) (multiplicity 4)
Br (0.106, 0.250, 0.768) (multiplicity 8)
Br (0.121, 0.500, 0.165) (multiplicity 4)
Br (0.182, 0.000, 0.357) (multiplicity 4)

Calculated values
ρ	3.9	Mg/m³
total energy	-5.214	eV/atom
total magnetization	9.000	μB/f.u.
E above lowest polymorph	140	meV/atom
crystal system	monoclinic
formation energy without anion corrections	-1.292	eV per atom


10.
Here is crystalline K2PuBr5 at its relaxed geometry from Alexandria. Energies are from GGA-PBE.

Cell lengths 5.888, 16.501, 15.259 Å; angles 90.00, 90.00, 90.00 degrees
Space group Cmcm (No. 63)
Unique sites:
K (0.000, 0.146, 0.065) (multiplicity 8)
Pu (0.000, 0.168, 0.750) (multiplicity 4)
Br (0.000, 0.046, 0.621) (multiplicity 8)
Br (0.000, 0.283, 0.607) (multiplicity 8)
Br (0.000, 0.307, 0.250) (multiplicity 4)

Calculated values
ρ	3.2	Mg/m³
total energy	-4.738	eV/atom
total magnetization	5.000	μB/f.u.
E above lowest polymorph	32	meV/atom
crystal system	orthorhombic
formation energy without anion corrections	-1.627	eV per atom


11.
Here is crystalline KRb2PuBr6 at its relaxed geometry from Alexandria. Energies are from GGA-PBE.

Cell lengths 8.078, 8.629, 14.137 Å; angles 90.00, 124.52, 90.00 degrees
Space group P2_1/c (No. 14)
Unique sites:
K (0.000, 0.000, 0.000) (multiplicity 2)
Rb (0.221, 0.074, 0.749) (multiplicity 4)
Pu (0.500, 0.000, 0.500) (multiplicity 2)
Br (0.157, 0.184, 0.444) (multiplicity 4)
Br (0.265, 0.718, 0.438) (multiplicity 4)
Br (0.383, 0.046, 0.268) (multiplicity 4)

Calculated values
ρ	3.8	Mg/m³
total energy	-4.430	eV/atom
total magnetization	5.000	μB/f.u.
crystal system	monoclinic
formation energy without anion corrections	-1.690	eV per atom


12.
Here is crystalline K3Rb3PuBr8 at its relaxed geometry from Alexandria. Energies are from GGA-PBE.

Cell lengths 9.5667, 9.5667, 24.0246 Å; angles 90.00, 90.00, 120.00 degrees
Space group R-3m (No. 166, hexagonal axes)
Unique sites:
K (0.0000, 0.5000, 0.0000) (multiplicity 9)
Rb (0.0000, 0.5000, 0.5000) (multiplicity 9)
Pu (0.0000, 0.0000, 0.0000) (multiplicity 3)
Br (0.0000, 0.0000, 0.2542) (multiplicity 6)
Br (0.0317, 0.5159, 0.7386) (multiplicity 18)

Calculated values
ρ	3.3	Mg/m³
total energy	-3.937	eV/atom
total magnetization	5.981	μB/f.u.
crystal system	trigonal
formation energy without anion corrections	-1.676	eV per atom